1.
DFT (GGA-PBE) results for an optimized crystal structure of TlCrRh2.

## Properties
Crystal system: tetragonal
Space group: I-42d, No. 122
ΔE_f in eV/atom: 0.432

Cell: 5.726 5.726 5.726 Å, 103.70 103.70 121.75°
Element x y z (fractional)
1 Tl 0.000 0.000 0.000
2 Tl 0.750 0.250 0.500
3 Cr 0.250 0.750 0.500
4 Cr 0.500 0.500 0.000
5 Rh 0.180 0.125 0.555
6 Rh 0.375 0.820 0.945
7 Rh 0.570 0.625 0.445
8 Rh 0.875 0.430 0.055


2.
DFT (GGA-PBE) results for an optimized crystal structure of TlCr3Rh.

## Properties
Energy above the lowest structure with this stoichiometry in kcal/mol of atoms: 0.00
Crystal system: cubic
Space group: Pm-3m, No. 221
ΔE_f in eV/atom: 1.097

Cell: 4.806 4.806 4.806 Å, 90.00 90.00 90.00°
Element x y z (fractional)
1 Tl 0.000 0.000 0.000
2 Cr 0.000 0.500 0.500
3 Cr 0.500 0.000 0.500
4 Cr 0.500 0.500 0.000
5 Rh 0.500 0.500 0.500


3.
DFT (GGA-PBE) results for an optimized crystal structure of TlCrRh2.

## Properties
Crystal system: trigonal
Space group: R3m, No. 160
ΔE_f in eV/atom: 0.469

Cell: 8.980 8.980 8.980 Å, 18.47 18.47 18.47°
Element x y z (fractional)
1 Tl 0.000 0.000 0.000
2 Cr 0.244 0.244 0.244
3 Rh 0.506 0.506 0.506
4 Rh 0.754 0.754 0.754


4.
DFT (GGA-PBE) results for an optimized crystal structure of TlCrRh2.

## Properties
Crystal system: orthorhombic
Space group: Pmm2, No. 25
ΔE_f in eV/atom: 0.217

Cell: 2.957 3.867 5.696 Å, 90.00 90.00 90.00°
Element x y z (fractional)
1 Tl 0.000 0.000 0.000
2 Cr 0.500 0.500 0.308
3 Rh 0.000 0.000 0.488
4 Rh 0.500 0.500 0.756


5.
DFT (GGA-PBE) results for an optimized crystal structure of TlCr2Rh.

## Properties
Energy above the lowest structure with this stoichiometry in kcal/mol of atoms: 4.42
Crystal system: cubic
Space group: Fm-3m, No. 225
ΔE_f in eV/atom: 0.472

Cell: 4.548 4.548 4.548 Å, 60.00 60.00 60.00°
Element x y z (fractional)
1 Tl 0.000 0.000 0.000
2 Cr 0.250 0.250 0.250
3 Cr 0.750 0.750 0.750
4 Rh 0.500 0.500 0.500


6.
DFT (GGA-PBE) results for an optimized crystal structure of TlCr2Rh.

## Properties
Energy above the lowest structure with this stoichiometry in kcal/mol of atoms: 4.96
Crystal system: cubic
Space group: F-43m, No. 216
ΔE_f in eV/atom: 0.496

Cell: 4.513 4.513 4.513 Å, 60.00 60.00 60.00°
Element x y z (fractional)
1 Tl 0.000 0.000 0.000
2 Cr 0.250 0.250 0.250
3 Cr 0.500 0.500 0.500
4 Rh 0.750 0.750 0.750


7.
DFT (GGA-PBE) results for an optimized crystal structure of TlCr4Rh.

## Properties
Crystal system: cubic
Space group: F-43m, No. 216
ΔE_f in eV/atom: 0.371

Cell: 4.880 4.880 4.880 Å, 60.00 60.00 60.00°
Element x y z (fractional)
1 Tl 0.000 0.000 0.000
2 Cr 0.121 0.626 0.626
3 Cr 0.626 0.121 0.626
4 Cr 0.626 0.626 0.121
5 Cr 0.626 0.626 0.626
6 Rh 0.250 0.250 0.250


8.
DFT (GGA-PBE) results for an optimized crystal structure of TlCrRh2W.

## Properties
Crystal system: tetragonal
Space group: P4/mmm, No. 123
ΔE_f in eV/atom: 2.509

Cell: 4.779 4.779 4.693 Å, 90.00 90.00 90.00°
Element x y z (fractional)
1 Tl 0.000 0.000 0.000
2 Cr 0.000 0.000 0.500
3 Rh 0.000 0.500 0.000
4 Rh 0.500 0.000 0.000
5 W 0.500 0.500 0.500


Number 1: N(E_F) 13.87 states/eV per cell. Number 2: N(E_F) 7.70 states/eV per cell. Number 3: N(E_F) 5.38 states/eV per cell. Number 4: N(E_F) 4.10 states/eV per cell. Number 5: N(E_F) 5.34 states/eV per cell. Number 6: N(E_F) 5.63 states/eV per cell. Number 7: N(E_F) 5.72 states/eV per cell. Number 8: N(E_F) 9.51 states/eV per cell.